## LiZrAl (GGA-PBE)

Data for an optimized crystal structure of LiZrAl.

a b c (Å): 4.5097 4.5097 4.5097
angles (deg): 60.00 60.00 60.00
Last column: nearest neighbours and their distance in Å.
Fractional coordinates of all 3 atoms:
Al  0.0000  0.0000  0.0000  4 Li 2.76, 4 Zr 2.76
Li  0.2500  0.2500  0.2500  4 Al 2.76
Zr  0.7500  0.7500  0.7500  4 Al 2.76

Distance to the lowest polymorph of the same formula: 0.00 eV/f.u.
SG: No. 216